First-principles (PBE-GGA) data for a relaxed Mg2Mn2Tl crystal, as listed in the Alexandria database.

Properties
- ΔE to the lowest computed polymorph (kcal/mol of atoms) = 0.08
- N(E_F) (states/eV/atom) = 0.4971

a b c (Å): 6.5954 6.5954 4.2200
angles (deg): 90.00 90.00 90.00
Element x y z (fractional)
Mg: 0.1726 0.3274 0.0000
Mg: 0.3274 0.8274 0.0000
Mg: 0.6726 0.1726 0.0000
Mg: 0.8274 0.6726 0.0000
Mn: 0.1090 0.6090 0.5000
Mn: 0.3910 0.1090 0.5000
Mn: 0.6090 0.8910 0.5000
Mn: 0.8910 0.3910 0.5000
Tl: 0.0000 0.0000 0.5000
Tl: 0.5000 0.5000 0.5000

***

First-principles (PBE-GGA) data for a relaxed Sm12Pd6Rh crystal, as listed in the Alexandria database.

Properties
- E (eV/atom) = -5.51
- N(E_F) (states/eV/atom) = 1.1025

a b c (Å): 8.3623 8.3623 8.3623
angles (deg): 98.38 98.38 98.38
Element x y z (fractional)
Sm: 0.0424 0.6794 0.9220
Sm: 0.0780 0.9576 0.3206
Sm: 0.1825 0.4172 0.5765
Sm: 0.3206 0.0780 0.9576
Sm: 0.4172 0.5765 0.1825
Sm: 0.4235 0.8175 0.5828
Sm: 0.5765 0.1825 0.4172
Sm: 0.5828 0.4235 0.8175
Sm: 0.6794 0.9220 0.0424
Sm: 0.8175 0.5828 0.4235
Sm: 0.9220 0.0424 0.6794
Sm: 0.9576 0.3206 0.0780
Pd: 0.1292 0.6198 0.3096
Pd: 0.3096 0.1292 0.6198
Pd: 0.3802 0.6904 0.8708
Pd: 0.6198 0.3096 0.1292
Pd: 0.6904 0.8708 0.3802
Pd: 0.8708 0.3802 0.6904
Rh: 0.0000 0.0000 0.0000